(1)
Here is an optimized crystal structure of AcNbPt2O8 from the Alexandria database. Energies are from GGA-PBE.

a = 5.401 Å, b = 5.401 Å, c = 7.093 Å
α = 90.00°, β = 90.00°, γ = 120.00°
Positions (direct):
Ac: 0.000 0.000 0.000
Nb: 0.000 0.000 0.500
Pt: 0.333 0.667 0.699
Pt: 0.667 0.333 0.301
O: 0.017 0.722 0.318
O: 0.278 0.295 0.318
O: 0.295 0.017 0.682
O: 0.333 0.667 0.967
O: 0.667 0.333 0.033
O: 0.705 0.983 0.318
O: 0.722 0.705 0.682
O: 0.983 0.278 0.682

- Spin magnetization: 0.27 μB per atom
- Total DFT energy (no corrections): -6.62 eV/atom
- Formation energy (no corrections): -1125 meV per atom
- SG: P-3 (147)
- DOS(E_F): 8.09 states/eV/cell

(2)
Here is an optimized crystal structure of AcNbPtO6 from the Alexandria database. Energies are from GGA-PBE.

a = 5.039 Å, b = 5.039 Å, c = 10.017 Å
α = 90.00°, β = 90.00°, γ = 90.00°
Positions (direct):
Ac: 0.000 0.000 0.000
Ac: 0.500 0.500 0.500
Nb: 0.000 0.000 0.664
Nb: 0.500 0.500 0.164
Pt: 0.000 0.000 0.324
Pt: 0.500 0.500 0.824
O: 0.165 0.165 0.491
O: 0.212 0.212 0.796
O: 0.218 0.218 0.184
O: 0.282 0.718 0.684
O: 0.288 0.712 0.296
O: 0.335 0.665 0.991
O: 0.665 0.335 0.991
O: 0.712 0.288 0.296
O: 0.718 0.282 0.684
O: 0.782 0.782 0.184
O: 0.788 0.788 0.796
O: 0.835 0.835 0.491

- Spin magnetization: 0.00 μB per atom
- Total DFT energy (no corrections): -7.54 eV/atom
- Formation energy (no corrections): -1993 meV per atom
- SG: P4_2nm (102)

(3)
Here is an optimized crystal structure of RbAcNb2O8 from the Alexandria database. Energies are from GGA-PBE.

a = 6.770 Å, b = 6.770 Å, c = 6.770 Å
α = 106.54°, β = 106.54°, γ = 115.52°
Positions (direct):
Rb: 0.000 0.000 0.000
Ac: 0.750 0.250 0.500
Nb: 0.250 0.750 0.500
Nb: 0.500 0.500 0.000
O: 0.075 0.404 0.329
O: 0.075 0.745 0.671
O: 0.161 0.353 0.808
O: 0.255 0.925 0.329
O: 0.546 0.353 0.192
O: 0.596 0.925 0.671
O: 0.647 0.454 0.808
O: 0.647 0.839 0.192

- Spin magnetization: 0.17 μB per atom
- Total DFT energy (no corrections): -7.64 eV/atom
- Formation energy (no corrections): -2235 meV per atom
- SG: I-4m2 (119)
- DOS(E_F): 12.03 states/eV/cell

(4)
Here is an optimized crystal structure of Rb2AcNbO6 from the Alexandria database. Energies are from GGA-PBE.

a = 6.372 Å, b = 6.372 Å, c = 6.372 Å
α = 60.00°, β = 60.00°, γ = 60.00°
Positions (direct):
Rb: 0.250 0.250 0.250
Rb: 0.750 0.750 0.750
Ac: 0.000 0.000 0.000
Nb: 0.500 0.500 0.500
O: 0.275 0.724 0.277
O: 0.276 0.723 0.725
O: 0.277 0.275 0.724
O: 0.723 0.725 0.276
O: 0.724 0.277 0.275
O: 0.725 0.276 0.723

- Spin magnetization: 0.20 μB per atom
- Total DFT energy (no corrections): -6.72 eV/atom
- Formation energy (no corrections): -2136 meV per atom
- SG: R-3 (148)
- DOS(E_F): 5.63 states/eV/cell

(5)
Here is an optimized crystal structure of Rb3AcNb2O8 from the Alexandria database. Energies are from GGA-PBE.

a = 6.517 Å, b = 6.517 Å, c = 8.244 Å
α = 90.00°, β = 90.00°, γ = 120.00°
Positions (direct):
Rb: 0.000 0.000 0.000
Rb: 0.333 0.667 0.692
Rb: 0.667 0.333 0.308
Ac: 0.000 0.000 0.500
Nb: 0.333 0.667 0.235
Nb: 0.667 0.333 0.765
O: 0.176 0.351 0.316
O: 0.176 0.824 0.316
O: 0.333 0.667 0.014
O: 0.351 0.176 0.684
O: 0.649 0.824 0.316
O: 0.667 0.333 0.986
O: 0.824 0.176 0.684
O: 0.824 0.649 0.684

- Spin magnetization: 0.00 μB per atom
- Total DFT energy (no corrections): -7.32 eV/atom
- Formation energy (no corrections): -2544 meV per atom
- SG: P-3m1 (164)
- DOS(E_F): 0.00 states/eV/cell

(6)
Here is an optimized crystal structure of RbAcNb2O7 from the Alexandria database. Energies are from GGA-PBE.

a = 3.953 Å, b = 3.953 Å, c = 11.467 Å
α = 90.00°, β = 90.00°, γ = 90.00°
Positions (direct):
Rb: 0.000 0.000 0.000
Ac: 0.000 0.000 0.500
Nb: 0.500 0.500 0.293
Nb: 0.500 0.500 0.707
O: 0.000 0.500 0.330
O: 0.000 0.500 0.670
O: 0.500 0.000 0.330
O: 0.500 0.000 0.670
O: 0.500 0.500 0.136
O: 0.500 0.500 0.500
O: 0.500 0.500 0.864

- Spin magnetization: 0.00 μB per atom
- Total DFT energy (no corrections): -8.22 eV/atom
- Formation energy (no corrections): -2769 meV per atom
- SG: P4/mmm (123)

(7)
Here is an optimized crystal structure of RbAcNbO4 from the Alexandria database. Energies are from GGA-PBE.

a = 6.293 Å, b = 6.036 Å, c = 8.771 Å
α = 90.00°, β = 106.30°, γ = 90.00°
Positions (direct):
Rb: 0.158 0.250 0.134
Rb: 0.842 0.750 0.866
Ac: 0.266 0.750 0.464
Ac: 0.734 0.250 0.536
Nb: 0.299 0.250 0.705
Nb: 0.701 0.750 0.295
O: 0.052 0.250 0.793
O: 0.107 0.250 0.487
O: 0.489 0.011 0.673
O: 0.489 0.489 0.673
O: 0.511 0.511 0.327
O: 0.511 0.989 0.327
O: 0.893 0.750 0.513
O: 0.948 0.750 0.207

- Spin magnetization: 0.12 μB per atom
- Total DFT energy (no corrections): -7.47 eV/atom
- Formation energy (no corrections): -2476 meV per atom
- SG: P2_1/m (11)
- DOS(E_F): 6.08 states/eV/cell

(8)
Here is an optimized crystal structure of AcNb2SbO7 from the Alexandria database. Energies are from GGA-PBE.

a = 3.907 Å, b = 3.907 Å, c = 11.485 Å
α = 90.00°, β = 90.00°, γ = 90.00°
Positions (direct):
Ac: 0.000 0.000 0.000
Nb: 0.500 0.500 0.211
Nb: 0.500 0.500 0.789
Sb: 0.000 0.000 0.500
O: 0.000 0.500 0.171
O: 0.000 0.500 0.829
O: 0.500 0.000 0.171
O: 0.500 0.000 0.829
O: 0.500 0.500 0.000
O: 0.500 0.500 0.369
O: 0.500 0.500 0.631

- Spin magnetization: 0.16 μB per atom
- Total DFT energy (no corrections): -8.03 eV/atom
- Formation energy (no corrections): -2293 meV per atom
- SG: P4/mmm (123)
- DOS(E_F): 1.74 states/eV/cell